# 1
DFT (GGA-PBE) results for a relaxed TiAgAu3 crystal.

Computed properties:
For the relative energy among the computed polymorphs, the calculation gives 0.056 eV/atom. As for the formation energy: 8 meV/atom. The total energy is -41.07 eV per cell.

The structure in CIF format:
```
data_TiAgAu3
_chemical_formula_sum 'Ti2 Ag2 Au6'
_cell_length_a 5.327
_cell_length_b 5.091
_cell_length_c 7.665
_cell_angle_alpha 90.00
_cell_angle_beta 110.33
_cell_angle_gamma 90.00
_space_group_name_H-M_alt 'P 1'
_space_group_IT_number 1
_space_group_name_Hall 'P 1'
loop_
_atom_site_label
_atom_site_type_symbol
_atom_site_fract_x
_atom_site_fract_y
_atom_site_fract_z
Ti1 Ti 0.181 0.250 0.361
Ti2 Ti 0.819 0.750 0.639
Ag1 Ag 0.419 0.750 0.837
Ag2 Ag 0.581 0.250 0.163
Au1 Au 0.000 0.000 0.000
Au2 Au 0.000 0.500 0.000
Au3 Au 0.092 0.250 0.681
Au4 Au 0.411 0.750 0.318
Au5 Au 0.589 0.250 0.682
Au6 Au 0.908 0.750 0.319
```


# 2
DFT (GGA-PBE) results for a relaxed TiAg3Au crystal.

Computed properties:
For the relative energy among the computed polymorphs, the calculation gives 0.000 eV/atom. As for the formation energy: 1036 meV/atom. The total energy is -14.55 eV per cell.

The structure in CIF format:
```
data_TiAg3Au
_chemical_formula_sum 'Ti1 Ag3 Au1'
_cell_length_a 5.058
_cell_length_b 5.058
_cell_length_c 5.058
_cell_angle_alpha 90.00
_cell_angle_beta 90.00
_cell_angle_gamma 90.00
_space_group_name_H-M_alt 'P 1'
_space_group_IT_number 1
_space_group_name_Hall 'P 1'
loop_
_atom_site_label
_atom_site_type_symbol
_atom_site_fract_x
_atom_site_fract_y
_atom_site_fract_z
Ti1 Ti 0.000 0.000 0.000
Ag1 Ag 0.000 0.500 0.500
Ag2 Ag 0.500 0.000 0.500
Ag3 Ag 0.500 0.500 0.000
Au1 Au 0.500 0.500 0.500
```


# 3
DFT (GGA-PBE) results for a relaxed TiAgAu3 crystal.

Computed properties:
For the relative energy among the computed polymorphs, the calculation gives 0.000 eV/atom. As for the formation energy: -48 meV/atom. The total energy is -83.26 eV per cell.

The structure in CIF format:
```
data_TiAgAu3
_chemical_formula_sum 'Ti4 Ag4 Au12'
_cell_length_a 8.762
_cell_length_b 8.762
_cell_length_c 6.197
_cell_angle_alpha 90.00
_cell_angle_beta 90.00
_cell_angle_gamma 57.49
_space_group_name_H-M_alt 'P 1'
_space_group_IT_number 1
_space_group_name_Hall 'P 1'
loop_
_atom_site_label
_atom_site_type_symbol
_atom_site_fract_x
_atom_site_fract_y
_atom_site_fract_z
Ti1 Ti 0.002 0.998 0.750
Ti2 Ti 0.387 0.613 0.750
Ti3 Ti 0.613 0.387 0.250
Ti4 Ti 0.998 0.002 0.250
Ag1 Ag 0.009 0.494 0.750
Ag2 Ag 0.494 0.009 0.250
Ag3 Ag 0.506 0.991 0.750
Ag4 Ag 0.991 0.506 0.250
Au1 Au 0.078 0.719 0.004
Au2 Au 0.078 0.719 0.496
Au3 Au 0.281 0.922 0.004
Au4 Au 0.281 0.922 0.496
Au5 Au 0.363 0.363 0.000
Au6 Au 0.363 0.363 0.500
Au7 Au 0.637 0.637 0.000
Au8 Au 0.637 0.637 0.500
Au9 Au 0.719 0.078 0.504
Au10 Au 0.719 0.078 0.996
Au11 Au 0.922 0.281 0.504
Au12 Au 0.922 0.281 0.996
```


# 4
DFT (GGA-PBE) results for a relaxed Ti3AgAu crystal.

Computed properties:
For the relative energy among the computed polymorphs, the calculation gives 0.000 eV/atom. As for the formation energy: 816 meV/atom. The total energy is -25.73 eV per cell.

The structure in CIF format:
```
data_Ti3AgAu
_chemical_formula_sum 'Ti3 Ag1 Au1'
_cell_length_a 4.898
_cell_length_b 4.898
_cell_length_c 4.898
_cell_angle_alpha 90.00
_cell_angle_beta 90.00
_cell_angle_gamma 90.00
_space_group_name_H-M_alt 'P 1'
_space_group_IT_number 1
_space_group_name_Hall 'P 1'
loop_
_atom_site_label
_atom_site_type_symbol
_atom_site_fract_x
_atom_site_fract_y
_atom_site_fract_z
Ti1 Ti 0.000 0.000 0.500
Ti2 Ti 0.000 0.500 0.000
Ti3 Ti 0.500 0.000 0.000
Ag1 Ag 0.500 0.500 0.500
Au1 Au 0.000 0.000 0.000
```


# 5
DFT (GGA-PBE) results for a relaxed TiAgAu3 crystal.

Computed properties:
For the relative energy among the computed polymorphs, the calculation gives 0.694 eV/atom. As for the formation energy: 646 meV/atom. The total energy is -17.35 eV per cell.

The structure in CIF format:
```
data_TiAgAu3
_chemical_formula_sum 'Ti1 Ag1 Au3'
_cell_length_a 4.985
_cell_length_b 4.985
_cell_length_c 4.985
_cell_angle_alpha 90.00
_cell_angle_beta 90.00
_cell_angle_gamma 90.00
_space_group_name_H-M_alt 'P 1'
_space_group_IT_number 1
_space_group_name_Hall 'P 1'
loop_
_atom_site_label
_atom_site_type_symbol
_atom_site_fract_x
_atom_site_fract_y
_atom_site_fract_z
Ti1 Ti 0.000 0.000 0.000
Ag1 Ag 0.500 0.500 0.500
Au1 Au 0.000 0.000 0.500
Au2 Au 0.000 0.500 0.000
Au3 Au 0.500 0.000 0.000
```


# 6
DFT (GGA-PBE) results for a relaxed TiAg3Au6 crystal.

Computed properties:
As for the formation energy: -124 meV/atom. The total energy is -74.71 eV per cell.

The structure in CIF format:
```
data_TiAg3Au6
_chemical_formula_sum 'Ti2 Ag6 Au12'
_cell_length_a 9.086
_cell_length_b 4.205
_cell_length_c 9.343
_cell_angle_alpha 90.00
_cell_angle_beta 92.07
_cell_angle_gamma 90.00
_space_group_name_H-M_alt 'P 1'
_space_group_IT_number 1
_space_group_name_Hall 'P 1'
loop_
_atom_site_label
_atom_site_type_symbol
_atom_site_fract_x
_atom_site_fract_y
_atom_site_fract_z
Ti1 Ti 0.055 0.250 0.393
Ti2 Ti 0.945 0.750 0.607
Ag1 Ag 0.250 0.250 0.992
Ag2 Ag 0.347 0.750 0.796
Ag3 Ag 0.450 0.250 0.599
Ag4 Ag 0.550 0.750 0.401
Ag5 Ag 0.653 0.250 0.204
Ag6 Ag 0.750 0.750 0.008
Au1 Au 0.046 0.750 0.896
Au2 Au 0.137 0.250 0.688
Au3 Au 0.153 0.750 0.198
Au4 Au 0.235 0.750 0.497
Au5 Au 0.349 0.250 0.300
Au6 Au 0.452 0.750 0.100
Au7 Au 0.548 0.250 0.900
Au8 Au 0.651 0.750 0.700
Au9 Au 0.765 0.250 0.503
Au10 Au 0.847 0.250 0.802
Au11 Au 0.863 0.750 0.312
Au12 Au 0.954 0.250 0.104
```


# 7
DFT (GGA-PBE) results for a relaxed Ti3AgAu crystal.

Computed properties:
For the relative energy among the computed polymorphs, the calculation gives 0.217 eV/atom. As for the formation energy: 1033 meV/atom. The total energy is -24.65 eV per cell.

The structure in CIF format:
```
data_Ti3AgAu
_chemical_formula_sum 'Ti3 Ag1 Au1'
_cell_length_a 4.811
_cell_length_b 4.811
_cell_length_c 4.811
_cell_angle_alpha 90.00
_cell_angle_beta 90.00
_cell_angle_gamma 90.00
_space_group_name_H-M_alt 'P 1'
_space_group_IT_number 1
_space_group_name_Hall 'P 1'
loop_
_atom_site_label
_atom_site_type_symbol
_atom_site_fract_x
_atom_site_fract_y
_atom_site_fract_z
Ti1 Ti 0.000 0.000 0.500
Ti2 Ti 0.000 0.500 0.000
Ti3 Ti 0.500 0.000 0.000
Ag1 Ag 0.000 0.000 0.000
Au1 Au 0.500 0.500 0.500
```


# 8
DFT (GGA-PBE) results for a relaxed TiTlAgAu crystal.

Computed properties:
As for the formation energy: 19 meV/atom. The total energy is -16.31 eV per cell.

The structure in CIF format:
```
data_TiTlAgAu
_chemical_formula_sum 'Ti1 Tl1 Ag1 Au1'
_cell_length_a 4.751
_cell_length_b 4.751
_cell_length_c 4.751
_cell_angle_alpha 60.00
_cell_angle_beta 60.00
_cell_angle_gamma 60.00
_space_group_name_H-M_alt 'P 1'
_space_group_IT_number 1
_space_group_name_Hall 'P 1'
loop_
_atom_site_label
_atom_site_type_symbol
_atom_site_fract_x
_atom_site_fract_y
_atom_site_fract_z
Ti1 Ti 0.000 0.000 0.000
Tl1 Tl 0.250 0.250 0.250
Ag1 Ag 0.500 0.500 0.500
Au1 Au 0.750 0.750 0.750
```


# 9
DFT (GGA-PBE) results for a relaxed Ti2AgWAu crystal.

Computed properties:
As for the formation energy: 1557 meV/atom. The total energy is -27.09 eV per cell.

The structure in CIF format:
```
data_Ti2AgWAu
_chemical_formula_sum 'Ti2 Ag1 W1 Au1'
_cell_length_a 4.789
_cell_length_b 4.789
_cell_length_c 4.854
_cell_angle_alpha 90.00
_cell_angle_beta 90.00
_cell_angle_gamma 90.00
_space_group_name_H-M_alt 'P 1'
_space_group_IT_number 1
_space_group_name_Hall 'P 1'
loop_
_atom_site_label
_atom_site_type_symbol
_atom_site_fract_x
_atom_site_fract_y
_atom_site_fract_z
Ti1 Ti 0.000 0.500 0.000
Ti2 Ti 0.500 0.000 0.000
Ag1 Ag 0.000 0.000 0.500
W1 W 0.500 0.500 0.500
Au1 Au 0.000 0.000 0.000
```


# 10
DFT (GGA-PBE) results for a relaxed Y2TiAgAu crystal.

Computed properties:
As for the formation energy: 260 meV/atom. The total energy is -25.65 eV per cell.

The structure in CIF format:
```
data_Y2TiAgAu
_chemical_formula_sum 'Y2 Ti1 Ag1 Au1'
_cell_length_a 5.546
_cell_length_b 5.546
_cell_length_c 4.898
_cell_angle_alpha 90.00
_cell_angle_beta 90.00
_cell_angle_gamma 90.00
_space_group_name_H-M_alt 'P 1'
_space_group_IT_number 1
_space_group_name_Hall 'P 1'
loop_
_atom_site_label
_atom_site_type_symbol
_atom_site_fract_x
_atom_site_fract_y
_atom_site_fract_z
Y1 Y 0.000 0.500 0.000
Y2 Y 0.500 0.000 0.000
Ti1 Ti 0.000 0.000 0.500
Ag1 Ag 0.500 0.500 0.500
Au1 Au 0.000 0.000 0.000
```


# 11
DFT (GGA-PBE) results for a relaxed ZrTiAgAu crystal.

Computed properties:
For the relative energy among the computed polymorphs, the calculation gives 0.111 eV/atom. As for the formation energy: -152 meV/atom. The total energy is -23.18 eV per cell.

The structure in CIF format:
```
data_ZrTiAgAu
_chemical_formula_sum 'Zr1 Ti1 Ag1 Au1'
_cell_length_a 4.765
_cell_length_b 4.765
_cell_length_c 4.765
_cell_angle_alpha 60.00
_cell_angle_beta 60.00
_cell_angle_gamma 60.00
_space_group_name_H-M_alt 'P 1'
_space_group_IT_number 1
_space_group_name_Hall 'P 1'
loop_
_atom_site_label
_atom_site_type_symbol
_atom_site_fract_x
_atom_site_fract_y
_atom_site_fract_z
Zr1 Zr 0.000 0.000 0.000
Ti1 Ti 0.500 0.500 0.500
Ag1 Ag 0.750 0.750 0.750
Au1 Au 0.250 0.250 0.250
```


# 12
DFT (GGA-PBE) results for a relaxed ZrTiAgAu crystal.

Computed properties:
For the relative energy among the computed polymorphs, the calculation gives 0.000 eV/atom. As for the formation energy: -264 meV/atom. The total energy is -23.63 eV per cell.

The structure in CIF format:
```
data_ZrTiAgAu
_chemical_formula_sum 'Zr1 Ti1 Ag1 Au1'
_cell_length_a 3.445
_cell_length_b 3.445
_cell_length_c 6.329
_cell_angle_alpha 90.00
_cell_angle_beta 90.00
_cell_angle_gamma 90.00
_space_group_name_H-M_alt 'P 1'
_space_group_IT_number 1
_space_group_name_Hall 'P 1'
loop_
_atom_site_label
_atom_site_type_symbol
_atom_site_fract_x
_atom_site_fract_y
_atom_site_fract_z
Zr1 Zr 0.000 0.000 0.000
Ti1 Ti 0.500 0.500 0.279
Ag1 Ag 0.000 0.000 0.502
Au1 Au 0.500 0.500 0.754
```


# 13
DFT (GGA-PBE) results for a relaxed TlAgAu2 crystal.

Computed properties:
For the relative energy among the computed polymorphs, the calculation gives 0.013 eV/atom. As for the formation energy: 64 meV/atom. The total energy is -11.52 eV per cell.

The structure in CIF format:
```
data_TlAgAu2
_chemical_formula_sum 'Tl1 Ag1 Au2'
_cell_length_a 5.129
_cell_length_b 5.129
_cell_length_c 3.268
_cell_angle_alpha 90.28
_cell_angle_beta 90.28
_cell_angle_gamma 109.17
_space_group_name_H-M_alt 'P 1'
_space_group_IT_number 1
_space_group_name_Hall 'P 1'
loop_
_atom_site_label
_atom_site_type_symbol
_atom_site_fract_x
_atom_site_fract_y
_atom_site_fract_z
Tl1 Tl 0.000 0.000 0.000
Ag1 Ag 0.500 0.500 0.000
Au1 Au 0.000 0.500 0.500
Au2 Au 0.500 0.000 0.500
```